No. 1
# HgTe, optimized geometry, DFT PBE
# Energy, eV/cell: -3.1
# Density of states at the Fermi level, states/eV/atom: 0.64
data_HgTe
_chemical_formula_sum 'Hg1 Te1'
_cell_length_a 3.1977
_cell_length_b 3.1977
_cell_length_c 7.0217
_cell_angle_alpha 90.00
_cell_angle_beta 90.00
_cell_angle_gamma 120.00
_space_group_name_H-M_alt 'P 1'
_space_group_IT_number 1
_space_group_name_Hall 'P 1'
loop_
_atom_site_label
_atom_site_fract_x
_atom_site_fract_y
_atom_site_fract_z
Hg1 0.0000 0.0000 0.0000
Te1 0.6667 0.3333 0.5000

No. 2
# HgTe, optimized geometry, DFT PBE
# Energy, eV/cell: -6.1
# Density of states at the Fermi level, states/eV/atom: 0.64
data_HgTe
_chemical_formula_sum 'Hg2 Te2'
_cell_length_a 5.3944
_cell_length_b 5.3944
_cell_length_c 5.3944
_cell_angle_alpha 60.00
_cell_angle_beta 60.00
_cell_angle_gamma 60.00
_space_group_name_H-M_alt 'P 1'
_space_group_IT_number 1
_space_group_name_Hall 'P 1'
loop_
_atom_site_label
_atom_site_fract_x
_atom_site_fract_y
_atom_site_fract_z
Hg1 0.0000 0.0000 0.0000
Hg2 0.2500 0.2500 0.2500
Te1 0.5000 0.5000 0.5000
Te2 0.7500 0.7500 0.7500

No. 3
# HgTe, optimized geometry, DFT PBE
# Energy, eV/cell: -3.8
# Density of states at the Fermi level, states/eV/atom: 0.12
data_HgTe
_chemical_formula_sum 'Hg1 Te1'
_cell_length_a 4.7023
_cell_length_b 4.7023
_cell_length_c 4.7023
_cell_angle_alpha 60.00
_cell_angle_beta 60.00
_cell_angle_gamma 60.00
_space_group_name_H-M_alt 'P 1'
_space_group_IT_number 1
_space_group_name_Hall 'P 1'
loop_
_atom_site_label
_atom_site_fract_x
_atom_site_fract_y
_atom_site_fract_z
Te1 0.7500 0.7500 0.7500
Hg1 0.0000 0.0000 0.0000

No. 4
# Hg3Te5, optimized geometry, DFT PBE
# Energy, eV/cell: -33.0
data_Hg3Te5
_chemical_formula_sum 'Hg6 Te10'
_cell_length_a 9.9217
_cell_length_b 9.0589
_cell_length_c 9.5773
_cell_angle_alpha 103.21
_cell_angle_beta 104.43
_cell_angle_gamma 123.19
_space_group_name_H-M_alt 'P 1'
_space_group_IT_number 1
_space_group_name_Hall 'P 1'
loop_
_atom_site_label
_atom_site_fract_x
_atom_site_fract_y
_atom_site_fract_z
Te1 0.1344 0.6436 0.4615
Te2 0.7035 0.1845 0.4751
Te3 0.7153 0.0196 0.9356
Te4 0.3478 0.0950 0.0368
Te5 0.6679 0.7037 0.4247
Te6 0.2153 0.2584 0.6896
Te7 0.6012 0.2300 0.9055
Te8 0.2849 0.7549 0.0349
Te9 0.1498 0.0951 0.3699
Te10 0.9907 0.9196 0.7243
Hg1 0.8157 0.7034 0.9506
Hg2 0.2672 0.4168 0.0785
Hg3 0.5302 0.3398 0.4324
Hg4 0.4915 0.8447 0.5241
Hg5 0.0701 0.5147 0.7052
Hg6 0.0078 0.2763 0.2512

No. 5
# HgTe, optimized geometry, DFT PBE
# Energy, eV/cell: -3.5
# Density of states at the Fermi level, states/eV/atom: 0.68
data_HgTe
_chemical_formula_sum 'Hg1 Te1'
_cell_length_a 4.3426
_cell_length_b 4.3426
_cell_length_c 4.3426
_cell_angle_alpha 60.00
_cell_angle_beta 60.00
_cell_angle_gamma 60.00
_space_group_name_H-M_alt 'P 1'
_space_group_IT_number 1
_space_group_name_Hall 'P 1'
loop_
_atom_site_label
_atom_site_fract_x
_atom_site_fract_y
_atom_site_fract_z
Te1 0.5000 0.5000 0.5000
Hg1 0.0000 0.0000 0.0000

No. 6
# Hg3Te4, optimized geometry, DFT PBE
# ΔE to the lowest computed polymorph, kJ per mole of atoms: 19.00
# Density of states at the Fermi level, states/eV/atom: 0.85
data_Hg3Te4
_chemical_formula_sum 'Hg3 Te4'
_cell_length_a 5.7534
_cell_length_b 5.7534
_cell_length_c 7.3865
_cell_angle_alpha 90.00
_cell_angle_beta 90.00
_cell_angle_gamma 120.00
_space_group_name_H-M_alt 'P 1'
_space_group_IT_number 1
_space_group_name_Hall 'P 1'
loop_
_atom_site_label
_atom_site_fract_x
_atom_site_fract_y
_atom_site_fract_z
Hg1 0.0000 0.5000 0.0000
Hg2 0.5000 0.5000 0.0000
Hg3 0.5000 0.0000 0.0000
Te1 0.0000 0.0000 0.3121
Te2 0.0000 0.0000 0.6879
Te3 0.6667 0.3333 0.5000
Te4 0.3333 0.6667 0.5000

What did the second record say?
# HgTe, optimized geometry, DFT PBE
# Energy, eV/cell: -6.1
# Density of states at the Fermi level, states/eV/atom: 0.64
data_HgTe
_chemical_formula_sum 'Hg2 Te2'
_cell_length_a 5.3944
_cell_length_b 5.3944
_cell_length_c 5.3944
_cell_angle_alpha 60.00
_cell_angle_beta 60.00
_cell_angle_gamma 60.00
_space_group_name_H-M_alt 'P 1'
_space_group_IT_number 1
_space_group_name_Hall 'P 1'
loop_
_atom_site_label
_atom_site_fract_x
_atom_site_fract_y
_atom_site_fract_z
Hg1 0.0000 0.0000 0.0000
Hg2 0.2500 0.2500 0.2500
Te1 0.5000 0.5000 0.5000
Te2 0.7500 0.7500 0.7500